Entry 1:
# La2AlHg

La2AlHg after structural relaxation (PBEsol, Alexandria via LeMat-Bulk).

extended XYZ file:
```
4
Lattice="3.747 0.000 0.000 0.000 5.415 0.000 0.000 0.000 5.415" Properties=species:S:1:pos:R:3 pbc="T T T"
La 0.000 0.000 2.707
La 0.000 2.707 0.000
Hg 1.874 2.707 2.707
Al 1.874 0.000 0.000
```

Output
The symmetry is P4/mmm. As for the electronic total energy: -17.0 eV per cell. The value obtained for the energy above the lowest structure with this stoichiometry is 0.10 eV per formula unit. For the formation energy, the calculation gives -160 kJ/mol of formula units.

***

Entry 2:
# MgMnPt

MgMnPt after structural relaxation (PBEsol, Alexandria via LeMat-Bulk).

extended XYZ file:
```
3
Lattice="4.296 0.000 0.000 2.148 3.721 0.000 2.148 1.240 3.508" Properties=species:S:1:pos:R:3 pbc="T T T"
Mg 0.000 0.000 0.000
Mn 4.296 2.480 1.754
Pt 6.444 3.721 2.631
```

Output
The symmetry is F-43m. As for the electronic total energy: -18.7 eV per cell. For the formation energy, the calculation gives -21 kJ/mol of formula units.

***

Entry 3:
# ZrAg2W

ZrAg2W after structural relaxation (PBEsol, Alexandria via LeMat-Bulk).

extended XYZ file:
```
4
Lattice="-2.354 -1.120 0.621 1.541 -4.049 -1.460 3.104 -0.563 4.840" Properties=species:S:1:pos:R:3 pbc="T T T"
Ag -1.900 -0.911 0.522
Ag -0.652 -3.228 1.106
W 0.181 -0.887 2.651
Zr 2.684 -2.667 3.073
```

Output
The symmetry is Pm. As for the electronic total energy: -28.3 eV per cell. For the formation energy, the calculation gives 120 kJ/mol of formula units.